[1]
Computed, not measured: crystalline Sm4In at its relaxed geometry at the PBE level of DFT. Values from VASP.

Output
SG = I4_1/amd, No. 141
total energy = -4.25 eV per atom
mass density = 6673 kg/m3
E above lowest polymorph = 0.206 eV/atom
formation energy = 0.07 eV per atom

Cell and atoms, written as Quantum ESPRESSO input:
```
&SYSTEM
  ibrav = 0, nat = 10, ntyp = 2
/
ATOMIC_SPECIES
Sm 150.36 Sm.upf
In 114.82 In.upf
CELL_PARAMETERS angstrom
-0.336 6.211 -4.674
-6.577 -3.944 1.313
2.174 2.758 6.943
ATOMIC_POSITIONS crystal
Sm 0.718 0.404 0.314
Sm 0.090 0.404 0.686
Sm 0.154 0.340 0.186
Sm 0.154 0.968 0.814
Sm 0.660 0.846 0.814
Sm 0.032 0.846 0.186
Sm 0.596 0.910 0.314
Sm 0.596 0.282 0.686
In 0.500 0.500 0.000
In 0.250 0.750 0.500
```

=====

[2]
Computed, not measured: crystalline Sr2CePt9 at its relaxed geometry at the PBE level of DFT. Values from VASP.

Output
SG = R-3m, No. 166
total energy = -6.08 eV per atom
mass density = 14676 kg/m3
formation energy = -0.78 eV per atom

Cell and atoms, written as Quantum ESPRESSO input:
```
&SYSTEM
  ibrav = 0, nat = 12, ntyp = 3
/
ATOMIC_SPECIES
Sr 87.62 Sr.upf
Ce 140.12 Ce.upf
Pt 195.08 Pt.upf
CELL_PARAMETERS angstrom
-1.940 -4.555 -2.327
3.448 -3.616 -2.227
1.106 -7.030 6.409
ATOMIC_POSITIONS crystal
Sr 0.858 0.858 0.425
Sr 0.142 0.142 0.575
Ce 0.000 0.000 0.000
Pt 0.668 0.668 0.998
Pt 0.332 0.332 0.002
Pt 0.500 0.500 0.500
Pt 0.417 0.417 0.248
Pt 0.919 0.417 0.248
Pt 0.417 0.919 0.248
Pt 0.583 0.583 0.752
Pt 0.583 0.081 0.752
Pt 0.081 0.583 0.752
```

=====

- The lowest mass density belongs to which entry?
  Sm4In